(1)
# PBE Sm2ScAl3Pt4, relaxed
# ΔH_f (0 K) ... -1.102 eV per atom
data_Sm2ScAl3Pt4
_cell_length_a 4.298
_cell_length_b 4.298
_cell_length_c 10.704
_cell_angle_alpha 90.00
_cell_angle_beta 90.00
_cell_angle_gamma 90.00
_space_group_name_H-M_alt 'P 1'
_space_group_IT_number 1
loop_
_space_group_symop_operation_xyz
'x,y,z'
loop_
_atom_site_label
_atom_site_type_symbol
_atom_site_fract_x
_atom_site_fract_y
_atom_site_fract_z
_atom_site_occupancy
Sm1 Sm 0.000 0.500 0.235 1
Sm2 Sm 0.500 0.000 0.765 1
Sc1 Sc 0.000 0.000 0.500 1
Al1 Al 0.000 0.500 0.878 1
Al2 Al 0.500 0.000 0.122 1
Al3 Al 0.500 0.500 0.500 1
Pt1 Pt 0.000 0.000 0.000 1
Pt2 Pt 0.000 0.500 0.646 1
Pt3 Pt 0.500 0.000 0.354 1
Pt4 Pt 0.500 0.500 0.000 1



(2)
# PBE TlTeC2, relaxed
# Formation energy without anion corrections ... 2506 meV per atom
data_TlTeC2
_cell_length_a 4.528
_cell_length_b 4.528
_cell_length_c 4.528
_cell_angle_alpha 60.00
_cell_angle_beta 60.00
_cell_angle_gamma 60.00
_space_group_name_H-M_alt 'P 1'
_space_group_IT_number 1
loop_
_space_group_symop_operation_xyz
'x,y,z'
loop_
_atom_site_label
_atom_site_type_symbol
_atom_site_fract_x
_atom_site_fract_y
_atom_site_fract_z
_atom_site_occupancy
Tl1 Tl 0.000 0.000 0.000 1
Te1 Te 0.500 0.500 0.500 1
C1 C 0.250 0.250 0.250 1
C2 C 0.750 0.750 0.750 1



(3)
# PBE TcHg2Te, relaxed
# Formation energy without anion corrections ... 426 meV per atom
data_TcHg2Te
_cell_length_a 7.958
_cell_length_b 7.958
_cell_length_c 7.958
_cell_angle_alpha 95.66
_cell_angle_beta 95.66
_cell_angle_gamma 143.39
_space_group_name_H-M_alt 'P 1'
_space_group_IT_number 1
loop_
_space_group_symop_operation_xyz
'x,y,z'
loop_
_atom_site_label
_atom_site_type_symbol
_atom_site_fract_x
_atom_site_fract_y
_atom_site_fract_z
_atom_site_occupancy
Tc1 Tc 0.000 0.000 0.000 1
Tc2 Tc 0.750 0.250 0.500 1
Hg1 Hg 0.375 0.126 0.251 1
Hg2 Hg 0.874 0.125 0.249 1
Hg3 Hg 0.875 0.124 0.749 1
Hg4 Hg 0.876 0.625 0.751 1
Te1 Te 0.250 0.750 0.500 1
Te2 Te 0.500 0.500 0.000 1



(4)
# PBE ErMg2Au8, relaxed
# ΔH_f (0 K) ... -0.515 eV per atom
data_ErMg2Au8
_cell_length_a 7.833
_cell_length_b 7.833
_cell_length_c 6.738
_cell_angle_alpha 105.99
_cell_angle_beta 105.99
_cell_angle_gamma 31.11
_space_group_name_H-M_alt 'P 1'
_space_group_IT_number 1
loop_
_space_group_symop_operation_xyz
'x,y,z'
loop_
_atom_site_label
_atom_site_type_symbol
_atom_site_fract_x
_atom_site_fract_y
_atom_site_fract_z
_atom_site_occupancy
Er1 Er 0.000 0.000 0.000 1
Mg1 Mg 0.278 0.278 0.344 1
Mg2 Mg 0.722 0.722 0.656 1
Au1 Au 0.104 0.104 0.459 1
Au2 Au 0.181 0.181 0.909 1
Au3 Au 0.357 0.357 0.802 1
Au4 Au 0.458 0.458 0.277 1
Au5 Au 0.542 0.542 0.723 1
Au6 Au 0.643 0.643 0.198 1
Au7 Au 0.819 0.819 0.091 1
Au8 Au 0.896 0.896 0.541 1



(5)
# PBE Sc4GaRu3, relaxed
# ΔH_f (0 K) ... -0.617 eV per atom
data_Sc4GaRu3
_cell_length_a 7.940
_cell_length_b 7.940
_cell_length_c 7.940
_cell_angle_alpha 33.57
_cell_angle_beta 33.57
_cell_angle_gamma 33.57
_space_group_name_H-M_alt 'P 1'
_space_group_IT_number 1
loop_
_space_group_symop_operation_xyz
'x,y,z'
loop_
_atom_site_label
_atom_site_type_symbol
_atom_site_fract_x
_atom_site_fract_y
_atom_site_fract_z
_atom_site_occupancy
Sc1 Sc 0.121 0.121 0.121 1
Sc2 Sc 0.372 0.372 0.372 1
Sc3 Sc 0.628 0.628 0.628 1
Sc4 Sc 0.879 0.879 0.879 1
Ga1 Ga 0.500 0.500 0.500 1
Ru1 Ru 0.000 0.000 0.000 1
Ru2 Ru 0.248 0.248 0.248 1
Ru3 Ru 0.752 0.752 0.752 1



(6)
# PBE Ca2SmSnS4, relaxed
# Formation energy without anion corrections ... -1614 meV per atom
data_Ca2SmSnS4
_cell_length_a 7.023
_cell_length_b 4.033
_cell_length_c 7.090
_cell_angle_alpha 90.00
_cell_angle_beta 109.30
_cell_angle_gamma 90.00
_space_group_name_H-M_alt 'P 1'
_space_group_IT_number 1
loop_
_space_group_symop_operation_xyz
'x,y,z'
loop_
_atom_site_label
_atom_site_type_symbol
_atom_site_fract_x
_atom_site_fract_y
_atom_site_fract_z
_atom_site_occupancy
Ca1 Ca 0.000 0.000 0.000 1
Ca2 Ca 0.000 0.500 0.500 1
Sm1 Sm 0.500 0.000 0.500 1
Sn1 Sn 0.500 0.500 0.000 1
S1 S 0.246 0.000 0.743 1
S2 S 0.247 0.500 0.252 1
S3 S 0.753 0.500 0.748 1
S4 S 0.754 0.000 0.257 1



(7)
# PBE FeCu2Hg, relaxed
# ΔH_f (0 K) ... 0.332 eV per atom
data_FeCu2Hg
_cell_length_a 4.678
_cell_length_b 4.678
_cell_length_c 4.749
_cell_angle_alpha 101.72
_cell_angle_beta 101.72
_cell_angle_gamma 35.09
_space_group_name_H-M_alt 'P 1'
_space_group_IT_number 1
loop_
_space_group_symop_operation_xyz
'x,y,z'
loop_
_atom_site_label
_atom_site_type_symbol
_atom_site_fract_x
_atom_site_fract_y
_atom_site_fract_z
_atom_site_occupancy
Fe1 Fe 0.000 0.000 0.000 1
Cu1 Cu 0.484 0.484 0.452 1
Cu2 Cu 0.744 0.744 0.220 1
Hg1 Hg 0.241 0.241 0.719 1



(8)
# PBE YPIr2, relaxed
# ΔH_f (0 K) ... -0.353 eV per atom
data_YPIr2
_cell_length_a 4.129
_cell_length_b 4.129
_cell_length_c 3.918
_cell_angle_alpha 90.00
_cell_angle_beta 90.00
_cell_angle_gamma 90.00
_space_group_name_H-M_alt 'P 1'
_space_group_IT_number 1
loop_
_space_group_symop_operation_xyz
'x,y,z'
loop_
_atom_site_label
_atom_site_type_symbol
_atom_site_fract_x
_atom_site_fract_y
_atom_site_fract_z
_atom_site_occupancy
Y1 Y 0.000 0.000 0.000 1
P1 P 0.500 0.500 0.000 1
Ir1 Ir 0.000 0.500 0.500 1
Ir2 Ir 0.500 0.000 0.500 1



(9)
# PBE Pr4Si2Ge5, relaxed
# Formation energy without anion corrections ... -705 meV per atom
data_Pr4Si2Ge5
_cell_length_a 7.057
_cell_length_b 4.381
_cell_length_c 8.222
_cell_angle_alpha 90.00
_cell_angle_beta 91.36
_cell_angle_gamma 90.00
_space_group_name_H-M_alt 'P 1'
_space_group_IT_number 1
loop_
_space_group_symop_operation_xyz
'x,y,z'
loop_
_atom_site_label
_atom_site_type_symbol
_atom_site_fract_x
_atom_site_fract_y
_atom_site_fract_z
_atom_site_occupancy
Pr1 Pr 0.231 0.000 0.369 1
Pr2 Pr 0.248 0.000 0.883 1
Pr3 Pr 0.752 0.000 0.117 1
Pr4 Pr 0.769 0.000 0.631 1
Si1 Si 0.088 0.500 0.125 1
Si2 Si 0.912 0.500 0.875 1
Ge1 Ge 0.121 0.500 0.625 1
Ge2 Ge 0.440 0.500 0.154 1
Ge3 Ge 0.500 0.500 0.500 1
Ge4 Ge 0.560 0.500 0.846 1
Ge5 Ge 0.879 0.500 0.375 1



(10)
# PBE Na4Mn3NbS8, relaxed
# Formation energy without anion corrections ... -878 meV per atom
data_Na4Mn3NbS8
_cell_length_a 7.803
_cell_length_b 7.803
_cell_length_c 7.803
_cell_angle_alpha 56.45
_cell_angle_beta 56.45
_cell_angle_gamma 56.45
_space_group_name_H-M_alt 'P 1'
_space_group_IT_number 1
loop_
_space_group_symop_operation_xyz
'x,y,z'
loop_
_atom_site_label
_atom_site_type_symbol
_atom_site_fract_x
_atom_site_fract_y
_atom_site_fract_z
_atom_site_occupancy
Na1 Na 0.000 0.000 0.000 1
Na2 Na 0.000 0.500 0.500 1
Na3 Na 0.500 0.000 0.500 1
Na4 Na 0.500 0.500 0.000 1
Mn1 Mn 0.000 0.000 0.500 1
Mn2 Mn 0.000 0.500 0.000 1
Mn3 Mn 0.500 0.000 0.000 1
Nb1 Nb 0.500 0.500 0.500 1
S1 S 0.231 0.231 0.231 1
S2 S 0.244 0.734 0.734 1
S3 S 0.266 0.266 0.756 1
S4 S 0.266 0.756 0.266 1
S5 S 0.734 0.244 0.734 1
S6 S 0.734 0.734 0.244 1
S7 S 0.756 0.266 0.266 1
S8 S 0.769 0.769 0.769 1



(11)
# PBE NpGaSb, relaxed
# Formation energy without anion corrections ... -12 meV per atom
data_NpGaSb
_cell_length_a 5.079
_cell_length_b 5.079
_cell_length_c 3.126
_cell_angle_alpha 90.00
_cell_angle_beta 90.00
_cell_angle_gamma 120.00
_space_group_name_H-M_alt 'P 1'
_space_group_IT_number 1
loop_
_space_group_symop_operation_xyz
'x,y,z'
loop_
_atom_site_label
_atom_site_type_symbol
_atom_site_fract_x
_atom_site_fract_y
_atom_site_fract_z
_atom_site_occupancy
Np1 Np 0.000 0.000 0.000 1
Ga1 Ga 0.667 0.333 0.500 1
Sb1 Sb 0.333 0.667 0.500 1



(12)
# PBE Cr2MoPb, relaxed
# ΔH_f (0 K) ... 0.838 eV per atom
data_Cr2MoPb
_cell_length_a 5.115
_cell_length_b 5.115
_cell_length_c 2.877
_cell_angle_alpha 101.13
_cell_angle_beta 101.13
_cell_angle_gamma 113.56
_space_group_name_H-M_alt 'P 1'
_space_group_IT_number 1
loop_
_space_group_symop_operation_xyz
'x,y,z'
loop_
_atom_site_label
_atom_site_type_symbol
_atom_site_fract_x
_atom_site_fract_y
_atom_site_fract_z
_atom_site_occupancy
Cr1 Cr 0.000 0.500 0.000 1
Cr2 Cr 0.500 0.000 0.000 1
Mo1 Mo 0.000 0.000 0.500 1
Pb1 Pb 0.500 0.500 0.500 1



no.,M_tot (μB/f.u.)
1,0.0
2,0.0
3,0.5
4,0.0
5,0.0
6,0.0
7,2.8
8,0.0
9,0.0
10,14.0
11,4.6
12,2.2